# 1
# PBE Mg2TlAgOs, relaxed
# ΔE_f	973	meV/atom
# symmetry	P4/mmm
data_Mg2TlAgOs
_symmetry_space_group_name_H-M 'P 1'
_symmetry_Int_Tables_number 1
_cell_length_a 4.932
_cell_length_b 5.092
_cell_length_c 4.932
_cell_angle_alpha 90.00
_cell_angle_beta 90.00
_cell_angle_gamma 90.00
loop_
_symmetry_equiv_pos_as_xyz
'x,y,z'
loop_
_atom_site_label
_atom_site_type_symbol
_atom_site_fract_x
_atom_site_fract_y
_atom_site_fract_z
_atom_site_occupancy
Tl1 Tl 0.500 0.500 0.500 1
Os1 Os 0.000 0.500 0.000 1
Mg1 Mg 0.000 0.000 0.500 1
Mg2 Mg 0.500 0.000 0.000 1
Ag1 Ag 0.000 0.000 0.000 1

# 2
# PBE Cu4I2F, relaxed
# formation energy (no corrections)	104	meV per atom
# symmetry	I4/mmm
data_Cu4I2F
_symmetry_space_group_name_H-M 'P 1'
_symmetry_Int_Tables_number 1
_cell_length_a 4.026
_cell_length_b 4.026
_cell_length_c 9.208
_cell_angle_alpha 77.37
_cell_angle_beta 77.37
_cell_angle_gamma 90.00
loop_
_symmetry_equiv_pos_as_xyz
'x,y,z'
loop_
_atom_site_label
_atom_site_type_symbol
_atom_site_fract_x
_atom_site_fract_y
_atom_site_fract_z
_atom_site_occupancy
I1 I 0.662 0.662 0.676 1
I2 I 0.338 0.338 0.324 1
Cu1 Cu 0.815 0.815 0.371 1
Cu2 Cu 0.185 0.185 0.629 1
Cu3 Cu 0.000 0.500 0.000 1
Cu4 Cu 0.500 0.000 0.000 1
F1 F 0.000 0.000 0.000 1